{
  "formula": "Nd4PuTh3S8",
  "functional": "PBE-GGA",
  "state": "optimized geometry",
  "cell": [[4.033, 2.328, 6.644], [-4.033, 2.328, 6.644], [0.000, -4.657, 6.644]],
  "species": ["Nd", "Nd", "Nd", "Nd", "Pu", "Th", "Th", "Th", "S", "S", "S", "S", "S", "S", "S", "S"],
  "frac_coords": [[0.000, 0.000, 0.000], [0.000, 0.500, 0.500], [0.500, 0.000, 0.500], [0.500, 0.500, 0.000], [0.500, 0.500, 0.500], [0.000, 0.000, 0.500], [0.000, 0.500, 0.000], [0.500, 0.000, 0.000], [0.250, 0.250, 0.250], [0.252, 0.747, 0.747], [0.253, 0.253, 0.748], [0.253, 0.748, 0.253], [0.747, 0.252, 0.747], [0.747, 0.747, 0.252], [0.748, 0.253, 0.253], [0.750, 0.750, 0.750]],
  "e_form_raw_ev_per_atom": -1.9233
}

***

{
  "formula": "AcSm3HoTm",
  "functional": "PBE-GGA",
  "state": "optimized geometry",
  "cell": [[11.514, -2.717, 0.000], [11.514, 2.717, 0.000], [-1.026, 0.000, 7.028]],
  "species": ["Ac", "Ac", "Sm", "Sm", "Sm", "Sm", "Sm", "Sm", "Ho", "Ho", "Tm", "Tm"],
  "frac_coords": [[0.127, 0.127, 0.480], [0.873, 0.873, 0.520], [0.022, 0.022, 0.784], [0.275, 0.275, 0.694], [0.322, 0.322, 0.217], [0.678, 0.678, 0.783], [0.725, 0.725, 0.306], [0.978, 0.978, 0.216], [0.425, 0.425, 0.884], [0.575, 0.575, 0.116], [0.167, 0.167, 0.025], [0.833, 0.833, 0.975]],
  "delta_e_f_ev_per_atom": 0.21
}

***

{
  "formula": "Hf3Sb2Se",
  "functional": "PBE-GGA",
  "state": "optimized geometry",
  "cell": [[3.507, -6.058, 0.000], [3.507, 6.058, 0.000], [-2.342, 0.000, 6.454]],
  "species": ["Hf", "Hf", "Hf", "Hf", "Hf", "Hf", "Sb", "Sb", "Sb", "Sb", "Se", "Se"],
  "frac_coords": [[0.056, 0.412, 0.770], [0.198, 0.198, 0.196], [0.412, 0.056, 0.770], [0.588, 0.944, 0.230], [0.802, 0.802, 0.804], [0.944, 0.588, 0.230], [0.000, 0.000, 0.500], [0.352, 0.648, 0.500], [0.500, 0.500, 0.000], [0.648, 0.352, 0.500], [0.177, 0.823, 0.000], [0.823, 0.177, 0.000]],
  "e_form_raw_ev_per_atom": -0.5115
}

***

{
  "formula": "B2C",
  "functional": "PBE-GGA",
  "state": "optimized geometry",
  "cell": [[6.794, -1.255, 0.000], [6.794, 1.255, 0.000], [-0.959, 0.000, 4.956]],
  "species": ["B", "B", "B", "B", "B", "B", "B", "B", "C", "C", "C", "C"],
  "frac_coords": [[0.000, 0.000, 0.000], [0.001, 0.001, 0.421], [0.315, 0.315, 0.623], [0.590, 0.590, 0.971], [0.596, 0.596, 0.525], [0.690, 0.690, 0.333], [0.895, 0.895, 0.159], [0.914, 0.914, 0.671], [0.247, 0.247, 0.845], [0.254, 0.254, 0.326], [0.318, 0.318, 0.119], [0.681, 0.681, 0.815]],
  "e_above_lowest_polymorph_ev_per_atom": 0.265,
  "delta_e_f_ev_per_atom": 0.45
}

***

{
  "formula": "Na4LiU3N8",
  "functional": "PBE-GGA",
  "state": "optimized geometry",
  "cell": [[3.454, 1.994, 5.616], [-3.454, 1.994, 5.616], [0.000, -3.989, 5.616]],
  "species": ["Na", "Na", "Na", "Na", "Li", "U", "U", "U", "N", "N", "N", "N", "N", "N", "N", "N"],
  "frac_coords": [[0.000, 0.000, 0.000], [0.000, 0.500, 0.500], [0.500, 0.000, 0.500], [0.500, 0.500, 0.000], [0.500, 0.500, 0.500], [0.000, 0.000, 0.500], [0.000, 0.500, 0.000], [0.500, 0.000, 0.000], [0.190, 0.746, 0.746], [0.231, 0.231, 0.231], [0.254, 0.254, 0.810], [0.254, 0.810, 0.254], [0.746, 0.190, 0.746], [0.746, 0.746, 0.190], [0.769, 0.769, 0.769], [0.810, 0.254, 0.254]],
  "e_form_raw_ev_per_atom": -0.8300
}

***

{
  "formula": "VTcN2",
  "functional": "PBE-GGA",
  "state": "optimized geometry",
  "cell": [[1.406, 0.812, 6.268], [-1.406, 0.812, 6.268], [0.000, -1.623, 6.268]],
  "species": ["V", "Tc", "N", "N"],
  "frac_coords": [[0.000, 0.000, 0.000], [0.500, 0.500, 0.500], [0.395, 0.395, 0.395], [0.605, 0.605, 0.605]],
  "e_above_lowest_polymorph_ev_per_atom": 0.209,
  "e_form_raw_ev_per_atom": -0.1480
}

***

{
  "formula": "Ho4HgRh2Au",
  "functional": "PBE-GGA",
  "state": "optimized geometry",
  "cell": [[2.496, 1.441, 8.138], [-2.496, 1.441, 8.138], [0.000, -2.882, 8.138]],
  "species": ["Ho", "Ho", "Ho", "Ho", "Hg", "Rh", "Rh", "Au"],
  "frac_coords": [[0.123, 0.123, 0.123], [0.373, 0.373, 0.373], [0.627, 0.627, 0.627], [0.877, 0.877, 0.877], [0.500, 0.500, 0.500], [0.249, 0.249, 0.249], [0.751, 0.751, 0.751], [0.000, 0.000, 0.000]],
  "delta_e_f_ev_per_atom": -0.74
}

***

{
  "formula": "NaCdSb",
  "functional": "PBE-GGA",
  "state": "optimized geometry",
  "cell": [[4.795, 0.000, 0.000], [-2.398, 4.153, 0.000], [0.000, 0.000, 4.808]],
  "species": ["Na", "Cd", "Sb"],
  "frac_coords": [[0.000, 0.000, 0.000], [0.333, 0.667, 0.476], [0.667, 0.333, 0.522]],
  "e_form_raw_ev_per_atom": -0.2192
}

***

{
  "formula": "BaMgZn4Ga2",
  "functional": "PBE-GGA",
  "state": "optimized geometry",
  "cell": [[2.229, 1.287, 9.977], [-2.229, 1.287, 9.977], [0.000, -2.574, 9.977]],
  "species": ["Ba", "Mg", "Zn", "Zn", "Zn", "Zn", "Ga", "Ga"],
  "frac_coords": [[0.000, 0.000, 0.000], [0.500, 0.500, 0.500], [0.126, 0.126, 0.126], [0.407, 0.407, 0.407], [0.593, 0.593, 0.593], [0.874, 0.874, 0.874], [0.235, 0.235, 0.235], [0.765, 0.765, 0.765]],
  "delta_e_f_ev_per_atom": -0.14
}

***

Number 1: N(E_F) 0.823 states/eV/atom, DFT total energy -0.274 hartree per atom. Number 2: N(E_F) 1.533 states/eV/atom, DFT total energy -0.159 hartree per atom. Number 3: N(E_F) 0.422 states/eV/atom, DFT total energy -0.274 hartree per atom. Number 4: N(E_F) 0.219 states/eV/atom, DFT total energy -0.260 hartree per atom. Number 5: N(E_F) 0.537 states/eV/atom, DFT total energy -0.278 hartree per atom. Number 6: N(E_F) 0.836 states/eV/atom, DFT total energy -0.337 hartree per atom. Number 7: N(E_F) 0.589 states/eV/atom, DFT total energy -0.195 hartree per atom. Number 8: N(E_F) 0.145 states/eV/atom, DFT total energy -0.086 hartree per atom. Number 9: N(E_F) 0.258 states/eV/atom, DFT total energy -0.073 hartree per atom.